No. 1
Density functional theory data (GGA-PBE) for a relaxed ZrTlBr2 crystal.

Summary:
ρ: 6.96 g cm⁻³
energy above the most stable polymorph in this dataset: 934 meV per atom
DOS at the Fermi energy: 3.87 states/eV/f.u.
magnetization: 2.7 μB/f.u.

Structure (POSCAR):
```
ZrTlBr2
1.0
5.3552 0.0000 0.0000
2.6776 4.6377 0.0000
2.6776 1.5459 4.3725
Br Tl Zr
2 1 1
direct
0.0000 0.0000 0.0000 Br
0.2500 0.2500 0.2500 Br
0.5000 0.5000 0.5000 Tl
0.7500 0.7500 0.7500 Zr
```

***

No. 2
Density functional theory data (GGA-PBE) for a relaxed ZrTlBr2 crystal.

Summary:
ρ: 6.38 g cm⁻³
energy above the most stable polymorph in this dataset: 406 meV per atom
DOS at the Fermi energy: 2.95 states/eV/f.u.
magnetization: 0.5 μB/f.u.

Structure (POSCAR):
```
ZrTlBr2
1.0
3.6626 -0.0112 0.0000
-1.9015 3.1303 0.0000
0.0000 0.0000 10.3581
Tl Br Zr
1 2 1
direct
0.0000 0.0000 0.5097 Tl
0.5000 0.5000 0.3013 Br
0.0000 0.0000 0.9426 Br
0.5000 0.5000 0.7465 Zr
```

***

No. 3
Density functional theory data (GGA-PBE) for a relaxed ZrTlBr2 crystal.

Summary:
ρ: 6.26 g cm⁻³
energy above the most stable polymorph in this dataset: 150 meV per atom
DOS at the Fermi energy: 2.18 states/eV/f.u.
magnetization: 0.4 μB/f.u.

Structure (POSCAR):
```
ZrTlBr2
1.0
-2.5037 -1.9426 1.0468
0.1833 -1.7606 -2.8290
7.1437 -6.7080 4.6374
Zr Tl Br
1 1 2
direct
0.5000 0.5000 0.7500 Zr
0.5000 0.5000 0.2500 Tl
0.0000 0.0000 0.5962 Br
0.0000 0.0000 0.9038 Br
```

***

No. 4
Density functional theory data (GGA-PBE) for a relaxed Zr2TlBr crystal.

Summary:
ρ: 8.06 g cm⁻³
energy above the most stable polymorph in this dataset: 155 meV per atom
DOS at the Fermi energy: 3.20 states/eV/f.u.
magnetization: 0.0 μB/f.u.

Structure (POSCAR):
```
Zr2TlBr
1.0
6.6531 0.1503 -0.0442
3.9399 5.3632 0.0442
-4.7864 -3.7367 2.7231
Tl Br Zr
1 1 2
direct
0.2811 0.7811 0.5000 Tl
0.5382 0.5382 0.0000 Br
0.7283 0.2283 0.5000 Zr
0.9525 0.9525 0.0000 Zr
```

***

No. 5
Density functional theory data (GGA-PBE) for a relaxed ZrTl2Br5 crystal.

Summary:
ρ: 4.98 g cm⁻³
DOS at the Fermi energy: 2.16 states/eV/f.u.
magnetization: 0.0 μB/f.u.

Structure (POSCAR):
```
ZrTl2Br5
1.0
9.1400 0.0000 -0.0002
0.0003 9.1433 0.0377
-4.5699 -4.5657 3.5711
Zr Tl Br
1 2 5
direct
0.9146 0.9144 0.8292 Zr
0.3733 0.8750 0.7466 Tl
0.8733 0.3722 0.7466 Tl
0.8169 0.8168 0.0247 Br
0.5662 0.5668 0.1324 Br
0.2077 0.2075 0.0249 Br
0.8172 0.2075 0.0249 Br
0.2078 0.8168 0.0247 Br
```

***

No. 6
Density functional theory data (GGA-PBE) for a relaxed Zr2TlBr crystal.

Summary:
ρ: 8.20 g cm⁻³
energy above the most stable polymorph in this dataset: 168 meV per atom
DOS at the Fermi energy: 3.98 states/eV/f.u.
magnetization: 0.0 μB/f.u.

Structure (POSCAR):
```
Zr2TlBr
1.0
5.9886 -0.0067 0.0002
2.2502 5.5498 -0.0002
-3.1325 -4.2384 2.8437
Zr Tl Br
2 1 1
direct
0.9830 0.9830 0.0000 Zr
0.5170 0.5170 0.0000 Zr
0.2500 0.7500 0.5000 Tl
0.7500 0.2500 0.5000 Br
```

***

No. 7
Density functional theory data (GGA-PBE) for a relaxed ZrTlBr2 crystal.

Summary:
ρ: 6.78 g cm⁻³
energy above the most stable polymorph in this dataset: 309 meV per atom
DOS at the Fermi energy: 2.46 states/eV/f.u.
magnetization: 0.0 μB/f.u.

Structure (POSCAR):
```
ZrTlBr2
1.0
5.2147 0.0000 0.0000
0.0000 3.5128 0.0093
0.0000 1.7339 6.0950
Br Tl Zr
2 1 1
direct
0.5000 0.2336 0.1589 Br
0.0000 0.8262 0.9729 Br
0.0000 0.5328 0.5582 Tl
0.5000 0.9075 0.8099 Zr
```

***

No. 8
Density functional theory data (GGA-PBE) for a relaxed ZrTlBr2 crystal.

Summary:
ρ: 7.61 g cm⁻³
energy above the most stable polymorph in this dataset: 651 meV per atom
DOS at the Fermi energy: 2.39 states/eV/f.u.
magnetization: 0.0 μB/f.u.

Structure (POSCAR):
```
ZrTlBr2
1.0
5.5177 -0.0192 0.0000
1.4091 5.3347 0.0000
-3.4634 -2.6578 3.3743
Br Zr Tl
2 1 1
direct
0.0000 0.0000 0.0000 Br
0.5000 0.5000 0.0000 Br
0.7500 0.2500 0.5000 Zr
0.2500 0.7500 0.5000 Tl
```

***

Number 1: total DFT energy (no corrections) -13.74 eV per cell. Number 2: total DFT energy (no corrections) -15.85 eV per cell. Number 3: total DFT energy (no corrections) -16.87 eV per cell. Number 4: total DFT energy (no corrections) -21.54 eV per cell. Number 5: total DFT energy (no corrections) -29.71 eV per cell. Number 6: total DFT energy (no corrections) -21.49 eV per cell. Number 7: total DFT energy (no corrections) -16.24 eV per cell. Number 8: total DFT energy (no corrections) -14.87 eV per cell.